No. 1
Compound: Ac6GaSn3
Source: Alexandria
Functional: PBE
Structure: relaxed Values from VASP.

Values from the calculation:
As for the space group: R-3.

```
&SYSTEM
  ibrav = 0, nat = 20, ntyp = 3
/
ATOMIC_SPECIES
Ac 227.00 Ac.upf
Ga 69.72 Ga.upf
Sn 118.71 Sn.upf
CELL_PARAMETERS angstrom
6.365 3.675 5.758
-6.365 3.675 5.758
0.000 -7.350 5.758
ATOMIC_POSITIONS crystal
Ac 0.116 0.737 0.825
Ac 0.173 0.405 0.514
Ac 0.175 0.884 0.263
Ac 0.263 0.175 0.884
Ac 0.405 0.514 0.173
Ac 0.486 0.827 0.595
Ac 0.514 0.173 0.405
Ac 0.595 0.486 0.827
Ac 0.737 0.825 0.116
Ac 0.825 0.116 0.737
Ac 0.827 0.595 0.486
Ac 0.884 0.263 0.175
Ga 0.000 0.000 0.000
Ga 0.500 0.500 0.500
Sn 0.045 0.573 0.189
Sn 0.189 0.045 0.573
Sn 0.427 0.811 0.955
Sn 0.573 0.189 0.045
Sn 0.811 0.955 0.427
Sn 0.955 0.427 0.811
```

=====

No. 2
Compound: Ac3Ga2Sn4
Source: Alexandria
Functional: PBE
Structure: relaxed Values from VASP.

Values from the calculation:
The energy relative to the lowest polymorph listed for this composition is 30 meV/atom. As for the space group: C2/m.

```
&SYSTEM
  ibrav = 0, nat = 9, ntyp = 3
/
ATOMIC_SPECIES
Ac 227.00 Ac.upf
Ga 69.72 Ga.upf
Sn 118.71 Sn.upf
CELL_PARAMETERS angstrom
6.330 -2.294 0.000
6.330 2.294 0.000
-3.137 0.000 9.466
ATOMIC_POSITIONS crystal
Ac 0.000 0.000 0.000
Ac 0.370 0.370 0.316
Ac 0.630 0.630 0.684
Ga 0.303 0.303 0.651
Ga 0.697 0.697 0.349
Sn 0.086 0.086 0.377
Sn 0.292 0.292 0.937
Sn 0.708 0.708 0.063
Sn 0.914 0.914 0.623
```

=====

No. 3
Compound: Ac4Ga2Sn
Source: Alexandria
Functional: PBE
Structure: relaxed Values from VASP.

Values from the calculation:
As for the space group: Fddd.

```
&SYSTEM
  ibrav = 0, nat = 14, ntyp = 3
/
ATOMIC_SPECIES
Ac 227.00 Ac.upf
Ga 69.72 Ga.upf
Sn 118.71 Sn.upf
CELL_PARAMETERS angstrom
0.000 7.262 7.279
5.101 0.000 7.279
5.101 7.262 0.000
ATOMIC_POSITIONS crystal
Ac 0.118 0.311 0.312
Ac 0.241 0.688 0.689
Ac 0.311 0.118 0.759
Ac 0.312 0.759 0.118
Ac 0.688 0.241 0.882
Ac 0.689 0.882 0.241
Ac 0.759 0.312 0.311
Ac 0.882 0.689 0.688
Ga 0.000 0.000 0.000
Ga 0.000 0.000 0.500
Ga 0.000 0.500 0.000
Ga 0.500 0.000 0.000
Sn 0.375 0.375 0.375
Sn 0.625 0.625 0.625
```

=====

No. 4
Compound: Ac3GaSn4
Source: Alexandria
Functional: PBE
Structure: relaxed Values from VASP.

Values from the calculation:
As for the space group: Immm.

```
&SYSTEM
  ibrav = 0, nat = 8, ntyp = 3
/
ATOMIC_SPECIES
Ac 227.00 Ac.upf
Ga 69.72 Ga.upf
Sn 118.71 Sn.upf
CELL_PARAMETERS angstrom
-2.492 3.517 8.102
2.492 -3.517 8.102
2.492 3.517 -8.102
ATOMIC_POSITIONS crystal
Ac 0.000 0.000 0.000
Ac 0.313 0.813 0.500
Ac 0.687 0.187 0.500
Ga 0.500 0.500 0.000
Sn 0.093 0.380 0.713
Sn 0.333 0.620 0.713
Sn 0.667 0.380 0.287
Sn 0.907 0.620 0.287
```

=====

No. 5
Compound: Ac5Ga2Sn2
Source: Alexandria
Functional: PBE
Structure: relaxed Values from VASP.

Values from the calculation:
As for the space group: Cmce.

```
&SYSTEM
  ibrav = 0, nat = 18, ntyp = 3
/
ATOMIC_SPECIES
Ac 227.00 Ac.upf
Ga 69.72 Ga.upf
Sn 118.71 Sn.upf
CELL_PARAMETERS angstrom
8.570 -4.334 0.000
8.570 4.334 0.000
0.000 0.000 8.639
ATOMIC_POSITIONS crystal
Ac 0.000 0.000 0.000
Ac 0.038 0.687 0.672
Ac 0.187 0.538 0.172
Ac 0.313 0.962 0.672
Ac 0.462 0.813 0.172
Ac 0.500 0.500 0.500
Ac 0.538 0.187 0.828
Ac 0.687 0.038 0.328
Ac 0.813 0.462 0.828
Ac 0.962 0.313 0.328
Ga 0.112 0.888 0.387
Ga 0.388 0.612 0.887
Ga 0.612 0.388 0.113
Ga 0.888 0.112 0.613
Sn 0.207 0.207 0.000
Sn 0.293 0.293 0.500
Sn 0.707 0.707 0.500
Sn 0.793 0.793 0.000
```

=====

No. 6
Compound: Ac12Ga5Sn2
Source: Alexandria
Functional: PBE
Structure: relaxed Values from VASP.

Values from the calculation:
As for the space group: C2/m.

```
&SYSTEM
  ibrav = 0, nat = 19, ntyp = 3
/
ATOMIC_SPECIES
Ac 227.00 Ac.upf
Ga 69.72 Ga.upf
Sn 118.71 Sn.upf
CELL_PARAMETERS angstrom
9.235 -3.896 0.000
9.235 3.896 0.000
-2.693 0.000 10.280
ATOMIC_POSITIONS crystal
Ac 0.007 0.007 0.290
Ac 0.055 0.578 0.886
Ac 0.104 0.594 0.439
Ac 0.406 0.896 0.561
Ac 0.422 0.945 0.114
Ac 0.447 0.447 0.187
Ac 0.553 0.553 0.813
Ac 0.578 0.055 0.886
Ac 0.594 0.104 0.439
Ac 0.896 0.406 0.561
Ac 0.945 0.422 0.114
Ac 0.993 0.993 0.710
Ga 0.172 0.172 0.835
Ga 0.199 0.199 0.361
Ga 0.500 0.500 0.500
Ga 0.801 0.801 0.639
Ga 0.828 0.828 0.165
Sn 0.196 0.804 0.000
Sn 0.804 0.196 0.000
```

=====

Number 1: E_form -0.3782 eV per atom. Number 2: E_form -0.5599 eV per atom. Number 3: E_form -0.3437 eV per atom. Number 4: E_form -0.4442 eV per atom. Number 5: E_form -0.5439 eV per atom. Number 6: E_form -0.2338 eV per atom.